Rb2NiIrS4 | PBE | relaxed

Cell lengths 13.3907, 11.8670, 7.3470 Å; angles 84.90, 61.97, 33.13 degrees
Positions (direct):
Rb: 0.0550 0.0550 0.6950
Rb: 0.3050 0.3050 0.9450
Rb: 0.6950 0.6950 0.0550
Rb: 0.9450 0.9450 0.3050
Ni: 0.3750 0.3750 0.3750
Ni: 0.6250 0.6250 0.6250
Ir: 0.1250 0.1250 0.1250
Ir: 0.8750 0.8750 0.8750
S: 0.0143 0.3427 0.4187
S: 0.2756 0.5813 0.6573
S: 0.3427 0.0143 0.7244
S: 0.4187 0.7244 0.0143
S: 0.5813 0.2756 0.9857
S: 0.6573 0.9857 0.2756
S: 0.7244 0.4187 0.3427
S: 0.9857 0.6573 0.5813

Computed properties:
Density, kg/m3: 4184
Final energy, eV per atom: -4.732
ΔE_f (raw), meV per atom: -596
SG: Fddd (70)
Density of states at the Fermi level, states/eV per cell: 7.0



RbNiIrSe3 | PBE | relaxed

Cell lengths 8.6853, 3.8426, 9.7230 Å; angles 90.00, 115.68, 90.00 degrees
Positions (direct):
Rb: 0.2385 0.2500 0.2646
Rb: 0.7615 0.7500 0.7354
Ni: 0.0882 0.2500 0.6105
Ni: 0.9118 0.7500 0.3895
Ir: 0.3159 0.7500 0.8445
Ir: 0.6841 0.2500 0.1555
Se: 0.1301 0.2500 0.8620
Se: 0.2079 0.7500 0.5533
Se: 0.4833 0.7500 0.1316
Se: 0.5167 0.2500 0.8684
Se: 0.7921 0.2500 0.4467
Se: 0.8699 0.7500 0.1380

Computed properties:
Density, kg/m3: 6510
Final energy, eV per atom: -4.846
ΔE_f (raw), meV per atom: -502
SG: P2_1/m (11)
Density of states at the Fermi level, states/eV per cell: 6.5



Re2NiIr | PBE | relaxed

Cell lengths 2.7275, 2.7275, 7.5134 Å; angles 90.00, 90.00, 90.00 degrees
Positions (direct):
Re: 0.0000 0.0000 0.0000
Re: 0.5000 0.5000 0.2796
Ni: 0.5000 0.5000 0.7758
Ir: 0.0000 0.0000 0.5234

Computed properties:
Density, kg/m3: 18519
Final energy, eV per atom: -9.894
SG: P4mm (99)
Density of states at the Fermi level, states/eV per cell: 4.2



Re2Ni8Ir | PBE | relaxed

Cell lengths 6.7730, 6.7730, 7.7259 Å; angles 93.73, 93.73, 22.02 degrees
Positions (direct):
Re: 0.2258 0.2258 0.1456
Re: 0.7742 0.7742 0.8544
Ni: 0.0469 0.0469 0.2274
Ni: 0.1361 0.1361 0.6851
Ni: 0.3182 0.3182 0.5855
Ni: 0.4109 0.4109 0.0460
Ni: 0.5891 0.5891 0.9540
Ni: 0.6818 0.6818 0.4145
Ni: 0.8639 0.8639 0.3149
Ni: 0.9531 0.9531 0.7726
Ir: 0.5000 0.5000 0.5000

Computed properties:
Density, kg/m3: 12952
Final energy, eV per atom: -7.254
SG: C2/m (12)
Density of states at the Fermi level, states/eV per cell: 16.1



Re2NiIr | PBE | relaxed

Cell lengths 4.7196, 4.7196, 4.6227 Å; angles 99.44, 99.44, 33.57 degrees
Positions (direct):
Re: 0.2475 0.2475 0.2508
Re: 0.7525 0.7525 0.7492
Ni: 0.0000 0.0000 0.5000
Ir: 0.5000 0.5000 0.0000

Computed properties:
Density, kg/m3: 18451
Final energy, eV per atom: -9.866
SG: C2/m (12)
Density of states at the Fermi level, states/eV per cell: 3.9



Re2NiIr | PBE | relaxed

Cell lengths 2.7104, 2.7104, 7.5301 Å; angles 90.00, 90.00, 90.00 degrees
Positions (direct):
Re: 0.0000 0.0000 0.2366
Re: 0.0000 0.0000 0.7634
Ni: 0.5000 0.5000 0.0000
Ir: 0.5000 0.5000 0.5000

Computed properties:
Density, kg/m3: 18710
Final energy, eV per atom: -9.886
SG: P4/mmm (123)
Density of states at the Fermi level, states/eV per cell: 4.5